KRbSnAs, optimized geometry, DFT PBE; magnetic moment = 0.0 μB per formula unit; V = 42.70 Å³ per atom; electronic total energy = -2.926 eV per atom; ΔE_f = -24 kJ/mol of atoms; space group = No. 8
1.0
-1.613 -2.220 3.256
-1.521 -0.580 -3.935
8.943 -6.165 -2.515
Rb As Sn K
1 1 1 1
Direct
0.508 0.637 0.145 Rb
0.329 0.050 0.379 As
0.743 0.757 0.500 Sn
0.576 0.175 0.750 K



KRbSr2As, optimized geometry, DFT PBE; magnetic moment = 0.0 μB per formula unit; V = 52.91 Å³ per atom; electronic total energy = -2.385 eV per atom; ΔE_f = -36 kJ/mol of atoms; space group = No. 123
1.0
-3.006 4.470 2.999
-5.336 -2.926 -0.987
0.799 -3.474 5.978
Sr K Rb As
2 1 1 1
Direct
0.500 0.000 0.000 Sr
0.000 0.500 0.000 Sr
0.000 0.000 0.500 K
0.500 0.500 0.500 Rb
0.000 0.000 0.000 As



KRbSr2As, optimized geometry, DFT PBE; magnetic moment = 0.0 μB per formula unit; V = 53.91 Å³ per atom; electronic total energy = -2.386 eV per atom; ΔE_f = -36 kJ/mol of atoms; space group = No. 123
1.0
-0.614 0.189 6.115
-3.933 -4.720 -0.248
5.434 -4.564 0.687
Sr Rb K As
2 1 1 1
Direct
0.000 0.500 0.000 Sr
0.500 0.000 0.000 Sr
0.000 0.000 0.500 Rb
0.500 0.500 0.500 K
0.000 0.000 0.000 As